Here is La2DyAlO after structural relaxation from the Alexandria database. Energies are from PBE-GGA.

Cell lengths 5.058, 5.058, 4.726 Å; angles 90.00, 90.00, 90.00 degrees
Atoms (fractional coordinates):
La (0.000, 0.500, 0.000)
La (0.500, 0.000, 0.000)
Dy (0.000, 0.000, 0.500)
Al (0.500, 0.500, 0.500)
O (0.000, 0.000, 0.000)

Electronic total energy (eV/cell): -29.8
Calculated density (g/cm3): 6.636
Energy relative to the elements, uncorrected (kJ/mol of formula units): -642